## a
## Ti4GeH2 (PBE-GGA)

Data for a relaxed structure of Ti4GeH2.

Cell: 6.330 6.332 6.346 Å, 102.76 102.75 123.89°
Positions (direct):
Ti  0.828  0.198  0.247
Ti  0.298  0.552  0.129
Ti  0.951  0.581  0.753
Ti  0.803  0.048  0.629
Ti  0.419  0.173  0.371
Ti  0.423  0.169  0.871
Ti  0.448  0.578  0.747
Ti  0.831  0.701  0.253
Ge  0.250  0.750  0.500
Ge  0.000  0.000  0.000
H  0.570  0.375  0.695
H  0.679  0.875  0.304
H  0.625  0.320  0.196
H  0.125  0.429  0.805

Results
theoretical density = 4740 kg/m³
size of the total moment = 0.0 μB per formula unit
SG = Fdd2, No. 43

## b
## Ti4GeH2 (PBE-GGA)

Data for a relaxed structure of Ti4GeH2.

Cell: 4.639 4.639 5.901 Å, 66.85 66.85 90.00°
Positions (direct):
H  0.436  0.436  0.128
H  0.564  0.564  0.872
Ge  0.000  0.000  0.000
Ti  0.254  0.254  0.492
Ti  0.746  0.746  0.508
Ti  0.000  0.500  0.000
Ti  0.500  0.000  0.000

Results
theoretical density = 4186 kg/m³
size of the total moment = 1.3 μB per formula unit
SG = I4/mmm, No. 139

Each structure's energy above the most stable one, in meV per atom: a 0; b 671.

## a
## TiGeH (PBE-GGA)

Data for a relaxed structure of TiGeH.

Cell: 3.924 3.229 3.229 Å, 120.00 90.00 90.00°
Positions (direct):
H  0.162  0.000  0.000
Ge  0.668  0.333  0.667
Ti  0.169  0.667  0.333

Results
theoretical density = 5696 kg/m³
size of the total moment = 0.0 μB per formula unit
SG = P3m1, No. 156

## b
## TiGeH (PBE-GGA)

Data for a relaxed structure of TiGeH.

Cell: 3.045 5.163 5.113 Å, 90.00 72.77 90.00°
Positions (direct):
H  0.559  0.250  0.380
H  0.441  0.750  0.620
Ge  0.884  0.250  0.725
Ge  0.116  0.750  0.275
Ti  0.159  0.250  0.180
Ti  0.841  0.750  0.820

Results
theoretical density = 5255 kg/m³
size of the total moment = 0.0 μB per formula unit
SG = P2_1/m, No. 11

Each structure's energy above the most stable one, in meV per atom: a 0; b 191.

## a
## TiGe2H2 (PBE-GGA)

Data for a relaxed structure of TiGe2H2.

Cell: 3.804 3.804 4.925 Å, 67.28 67.28 90.00°
Positions (direct):
H  0.453  0.453  0.095
H  0.547  0.547  0.905
Ge  0.750  0.250  0.500
Ge  0.250  0.750  0.500
Ti  0.000  0.000  0.000

Results
theoretical density = 5429 kg/m³
size of the total moment = 0.0 μB per formula unit
SG = I4/mmm, No. 139

## b
## TiGe2H2 (PBE-GGA)

Data for a relaxed structure of TiGe2H2.

Cell: 6.058 6.058 3.114 Å, 90.00 90.00 90.00°
Positions (direct):
H  0.295  0.795  0.000
H  0.795  0.705  0.000
H  0.705  0.205  0.000
H  0.205  0.295  0.000
Ge  0.148  0.648  0.500
Ge  0.648  0.852  0.500
Ge  0.852  0.352  0.500
Ge  0.352  0.148  0.500
Ti  0.000  0.000  0.000
Ti  0.500  0.500  0.000

Results
theoretical density = 5673 kg/m³
size of the total moment = 0.0 μB per formula unit
SG = P4/mbm, No. 127

Each structure's energy above the most stable one, in meV per atom: a 0; b 58.

## a
## TlGe2H (PBE-GGA)

Data for a relaxed structure of TlGe2H.

Cell: 5.293 5.293 7.061 Å, 67.99 67.99 90.00°
Positions (direct):
H  0.500  0.500  0.000
H  0.250  0.750  0.500
Tl  0.000  0.000  0.000
Tl  0.750  0.250  0.500
Ge  0.331  0.125  0.250
Ge  0.419  0.625  0.250
Ge  0.375  0.669  0.750
Ge  0.875  0.581  0.750

Results
theoretical density = 6943 kg/m³
size of the total moment = 0.0 μB per formula unit
SG = I-42d, No. 122

## b
## TlGe2H (PBE-GGA)

Data for a relaxed structure of TlGe2H.

Cell: 4.757 4.757 4.757 Å, 60.00 60.00 60.00°
Positions (direct):
H  0.000  0.000  0.000
Tl  0.500  0.500  0.500
Ge  0.250  0.250  0.250
Ge  0.750  0.750  0.750

Results
theoretical density = 7652 kg/m³
size of the total moment = 0.0 μB per formula unit
SG = Fm-3m, No. 225

Each structure's energy above the most stable one, in meV per atom: a 0; b 295.

## a
## TlGeH (PBE-GGA)

Data for a relaxed structure of TlGeH.

Cell: 8.783 4.184 7.153 Å, 90.00 90.00 90.00°
Positions (direct):
H  0.934  0.250  0.747
H  0.566  0.750  0.247
H  0.066  0.750  0.253
H  0.434  0.250  0.753
Tl  0.840  0.250  0.423
Tl  0.660  0.750  0.923
Tl  0.160  0.750  0.577
Tl  0.340  0.250  0.077
Ge  0.417  0.250  0.528
Ge  0.083  0.750  0.028
Ge  0.583  0.750  0.472
Ge  0.917  0.250  0.972

Results
theoretical density = 7026 kg/m³
size of the total moment = 0.0 μB per formula unit
SG = Pnma, No. 62

## b
## TlGeH (PBE-GGA)

Data for a relaxed structure of TlGeH.

Cell: 7.291 6.403 5.372 Å, 90.00 90.00 90.00°
Positions (direct):
H  0.717  0.250  0.000
H  0.783  0.750  0.500
H  0.283  0.750  0.000
H  0.217  0.250  0.500
Tl  0.000  0.000  0.000
Tl  0.500  0.500  0.500
Tl  0.500  0.000  0.500
Tl  0.000  0.500  0.000
Ge  0.494  0.250  0.000
Ge  0.006  0.750  0.500
Ge  0.506  0.750  0.000
Ge  0.994  0.250  0.500

Results
theoretical density = 7365 kg/m³
size of the total moment = 0.0 μB per formula unit
SG = Cmcm, No. 63

## c
## TlGeH (PBE-GGA)

Data for a relaxed structure of TlGeH.

Cell: 3.103 5.217 11.688 Å, 131.58 90.00 107.30°
Positions (direct):
H  0.146  0.293  0.025
H  0.854  0.707  0.975
Tl  0.865  0.729  0.312
Tl  0.135  0.271  0.688
Ge  0.988  0.976  0.833
Ge  0.012  0.024  0.167

Results
theoretical density = 7110 kg/m³
size of the total moment = 0.0 μB per formula unit
SG = C2/m, No. 12

Each structure's energy above the most stable one, in meV per atom: a 0; b 107; c 119.

## a
## UGeH (PBE-GGA)

Data for a relaxed structure of UGeH.

Cell: 4.076 4.044 5.886 Å, 90.00 110.28 90.00°
Positions (direct):
U  0.270  0.115  0.002
U  0.960  0.616  0.384
Ge  0.685  0.615  0.833
Ge  0.545  0.116  0.553
H  0.367  0.615  0.198
H  0.863  0.115  0.188

Results
theoretical density = 11376 kg/m³
size of the total moment = 2.6 μB per formula unit
SG = Cmcm, No. 63

## b
## UGeH (PBE-GGA)

Data for a relaxed structure of UGeH.

Cell: 3.494 3.494 11.553 Å, 97.54 97.54 90.01°
Positions (direct):
H  0.017  0.017  0.533
H  0.983  0.983  0.467
Ge  0.163  0.163  0.799
Ge  0.837  0.837  0.201
U  0.728  0.728  0.949
U  0.272  0.272  0.051

Results
theoretical density = 7468 kg/m³
size of the total moment = 0.0 μB per formula unit
SG = C2/m, No. 12

Each structure's energy above the most stable one, in meV per atom: a 0; b 478.